A relaxed structure of K2TlCl, computed with GGA-PBE.

Summary:
Space-group type   P4mm, No. 99
E_form (uncorrected)   -828 meV per atom
Polymorph energy (0 for the lowest one)   72 meV per atom

a = 4.0297 Å, b = 4.0297 Å, c = 10.3889 Å
α = 90.00°, β = 90.00°, γ = 90.00°
Last column: nearest neighbours and their distance in Å.
Fractional positions:
K 0.0000 0.0000 0.0000  4 Cl 3.07
K 0.5000 0.5000 0.4032  1 Cl 3.04
Tl 0.0000 0.0000 0.6447  5 K 3.69-3.80, 4 Tl 4.03
Cl 0.5000 0.5000 0.1109  5 K 3.04-3.07


A relaxed structure of Tl3Zn4, computed with GGA-PBE.

Summary:
Space-group type   I4/mmm, No. 139
Polymorph energy (0 for the lowest one)   0 meV per atom
Energy relative to the elements   0.133 eV/atom

a = 14.0453 Å, b = 14.0453 Å, c = 14.0453 Å
α = 166.15°, β = 166.15°, γ = 19.63°
Last column: nearest neighbours and their distance in Å.
Fractional positions:
Tl 0.0000 0.0000 0.0000  10 Zn 3.23-3.39, 4 Tl 3.39
Tl 0.2998 0.2998 0.0000  5 Zn 3.22-3.38, 4 Tl 3.39
Tl 0.7002 0.7002 0.0000  5 Zn 3.22-3.38, 4 Tl 3.39
Zn 0.1223 0.1223 0.0000  4 Zn 2.69
Zn 0.4218 0.4218 0.0000  4 Zn 2.69
Zn 0.5782 0.5782 0.0000  4 Zn 2.69
Zn 0.8777 0.8777 0.0000  4 Zn 2.69


A relaxed structure of Hf7Ti2Bi2, computed with GGA-PBE.

Summary:
Space-group type   Imm2, No. 44
Energy relative to the elements   0.016 eV/atom

a = 8.5766 Å, b = 8.5766 Å, c = 8.5766 Å
α = 152.24°, β = 68.75°, γ = 118.52°
Last column: nearest neighbours and their distance in Å.
Fractional positions:
Hf 0.0000 0.0000 0.0000  3 Bi 2.99-3.13, 2 Ti 3.07
Hf 0.0893 0.4053 0.6840  3 Ti 2.78-2.98, 1 Bi 3.02, 3 Hf 3.05-3.07
Hf 0.1781 0.8405 0.3376  3 Ti 2.91-3.06, 3 Hf 3.05-3.13, 2 Bi 3.08
Hf 0.4844 0.6393 0.8452  2 Ti 2.87, 4 Hf 3.07-3.14, 2 Bi 3.11
Hf 0.5028 0.8405 0.6624  3 Ti 2.91-3.06, 3 Hf 3.05-3.13, 2 Bi 3.08
Hf 0.7213 0.4053 0.3160  3 Ti 2.78-2.98, 1 Bi 3.02, 3 Hf 3.05-3.07
Hf 0.7941 0.6393 0.1548  2 Ti 2.87, 4 Hf 3.07-3.14, 2 Bi 3.11
Ti 0.3211 0.1163 0.2048  9 Hf 2.78-3.07
Ti 0.9115 0.1163 0.7952  9 Hf 2.78-3.07
Bi 0.3411 0.3411 0.0000  5 Hf 2.99-3.08
Bi 0.7308 0.2308 0.5000  8 Hf 3.02-3.13


A relaxed structure of As2P, computed with GGA-PBE.

Summary:
Space-group type   Cm, No. 8
Polymorph energy (0 for the lowest one)   0 meV per atom
Energy relative to the elements   0.059 eV/atom

a = 6.0659 Å, b = 6.0659 Å, c = 8.6773 Å
α = 122.51°, β = 122.51°, γ = 34.08°
Last column: nearest neighbours and their distance in Å.
Fractional positions:
As 0.0000 0.0000 0.0000  3 As 2.49-2.52
As 0.1912 0.1912 0.9447  2 P 2.39, 1 As 2.52
As 0.3687 0.3687 0.5820  3 P 2.39-2.41
As 0.5837 0.5837 0.2406  1 P 2.39, 2 As 2.49
P 0.6146 0.6146 0.7229  3 As 2.39
P 0.8281 0.8281 0.3694  3 As 2.39-2.41


A relaxed structure of GaFeBi3, computed with GGA-PBE.

Summary:
Space-group type   Pm-3m, No. 221
Polymorph energy (0 for the lowest one)   0 meV per atom
Energy relative to the elements   0.507 eV/atom

a = 5.0388 Å, b = 5.0388 Å, c = 5.0388 Å
α = 90.00°, β = 90.00°, γ = 90.00°
Last column: nearest neighbours and their distance in Å.
Fractional positions:
Ga 0.0000 0.0000 0.0000  12 Bi 3.56
Fe 0.5000 0.5000 0.5000  6 Bi 2.52
Bi 0.0000 0.5000 0.5000  2 Fe 2.52
Bi 0.5000 0.0000 0.5000  2 Fe 2.52
Bi 0.5000 0.5000 0.0000  2 Fe 2.52


A relaxed structure of Pm2Cd16In, computed with GGA-PBE.

Summary:
Space-group type   R3m, No. 160
Energy relative to the elements   -0.143 eV/atom

a = 7.6842 Å, b = 7.6842 Å, c = 7.6842 Å
α = 82.79°, β = 82.79°, γ = 82.79°
Last column: nearest neighbours and their distance in Å.
Fractional positions:
Pm 0.0000 0.0000 0.0000  16 Cd 3.54-3.75
Pm 0.3402 0.3402 0.3402  1 In 3.34, 12 Cd 3.47-3.55
Cd 0.0369 0.0369 0.4689  8 Cd 2.85-3.17
Cd 0.0369 0.4689 0.0369  8 Cd 2.85-3.17
Cd 0.1430 0.6875 0.6875  9 Cd 2.92-3.06
Cd 0.3211 0.3211 0.8056  8 Cd 2.85-3.17, 1 In 3.09
Cd 0.3211 0.8056 0.3211  8 Cd 2.85-3.17, 1 In 3.09
Cd 0.3624 0.6663 0.9754  8 Cd 2.92-3.17
Cd 0.3624 0.9754 0.6663  8 Cd 2.92-3.17
Cd 0.4689 0.0369 0.0369  8 Cd 2.85-3.17
Cd 0.6663 0.3624 0.9754  8 Cd 2.92-3.17
Cd 0.6663 0.9754 0.3624  8 Cd 2.92-3.17
Cd 0.6875 0.1430 0.6875  9 Cd 2.92-3.06
Cd 0.6875 0.6875 0.1430  9 Cd 2.92-3.06
Cd 0.7610 0.7610 0.7610  3 Cd 2.92, 1 In 2.93
Cd 0.8056 0.3211 0.3211  8 Cd 2.85-3.17, 1 In 3.09
Cd 0.9754 0.3624 0.6663  8 Cd 2.92-3.17
Cd 0.9754 0.6663 0.3624  8 Cd 2.92-3.17
In 0.5644 0.5644 0.5644  4 Cd 2.93-3.09